Entry 1:
Material: RbSb3
Method: DFT, PBE
State: relaxed

Its excess energy over the best structure of this formula in the dataset is 45.4 kJ/mol of atoms. For the uncorrected formation energy, the calculation gives 357 meV per atom.

Lattice parameters (Å, degrees): 5.7441 5.7441 9.9074 90.00 90.00 120.00
Space group P6_3/mmc (No. 194)
Inequivalent atoms, fractional coordinates:
Rb  0.3333  0.6667  0.2500 [2 per cell]
Sb  0.0000  0.0000  0.2500 [2 per cell]
Sb  0.3333  0.6667  0.6040 [4 per cell]

Entry 2:
Material: Y6Al2SiS14
Method: DFT, PBE
State: relaxed

For the uncorrected formation energy, the calculation gives -1678 meV per atom.

Lattice parameters (Å, degrees): 9.7376 9.7376 5.9341 90.00 90.00 120.00
Space group P3 (No. 143)
Inequivalent atoms, fractional coordinates:
Y  0.0345  0.5539  0.0000 [3 per cell]
Y  0.2992  0.1048  0.4850 [3 per cell]
Al  0.3333  0.6667  0.4146 [1 per cell]
Al  0.6667  0.3333  0.3078 [1 per cell]
Si  0.0000  0.0000  0.9082 [1 per cell]
S  0.0000  0.0000  0.2673 [1 per cell]
S  0.0845  0.8550  0.7623 [3 per cell]
S  0.1864  0.4246  0.2578 [3 per cell]
S  0.3333  0.6667  0.7892 [1 per cell]
S  0.4312  0.1958  0.0721 [3 per cell]
S  0.5182  0.4284  0.5372 [3 per cell]

Entry 3:
Material: Hf3ZnCr
Method: DFT, PBE
State: relaxed

Its energy relative to the elements is 0.651 eV/atom.

Lattice parameters (Å, degrees): 4.7885 4.7885 4.7885 90.00 90.00 90.00
Space group Pm-3m (No. 221)
Inequivalent atoms, fractional coordinates:
Hf  0.0000  0.0000  0.5000 [3 per cell]
Zn  0.5000  0.5000  0.5000 [1 per cell]
Cr  0.0000  0.0000  0.0000 [1 per cell]

Entry 4:
Material: MgNb2AgF
Method: DFT, PBE
State: relaxed

For the uncorrected formation energy, the calculation gives 1157 meV per atom.

Lattice parameters (Å, degrees): 5.2026 5.2026 4.0827 90.00 90.00 90.00
Space group P4/mmm (No. 123)
Inequivalent atoms, fractional coordinates:
Mg  0.0000  0.0000  0.0000 [1 per cell]
Nb  0.0000  0.5000  0.5000 [2 per cell]
Ag  0.5000  0.5000  0.5000 [1 per cell]
F  0.5000  0.5000  0.0000 [1 per cell]

Entry 5:
Material: K2Rb6TlO
Method: DFT, PBE
State: relaxed

For the uncorrected formation energy, the calculation gives -266 meV per atom.

Lattice parameters (Å, degrees): 8.4696 8.8749 9.2180 76.94 77.51 64.13
Space group P-1 (No. 2)
Inequivalent atoms, fractional coordinates:
K  0.2500  0.1939  0.1200 [2 per cell]
Rb  0.2681  0.3419  0.6314 [2 per cell]
Rb  0.2686  0.7994  0.6277 [2 per cell]
Rb  0.3273  0.6278  0.2401 [2 per cell]
Tl  0.0000  0.0000  0.0000 [1 per cell]
O  0.5000  0.5000  0.5000 [1 per cell]

Entry 6:
Material: ErAl4Cu8
Method: DFT, PBE
State: relaxed

Its energy relative to the elements is -0.241 eV/atom.

Lattice parameters (Å, degrees): 8.5344 8.5344 5.0750 90.00 90.00 90.00
Space group I4/mmm (No. 139)
Inequivalent atoms, fractional coordinates:
Er  0.0000  0.0000  0.0000 [2 per cell]
Al  0.2500  0.2500  0.2500 [8 per cell]
Cu  0.0000  0.2175  0.5000 [8 per cell]
Cu  0.0000  0.3506  0.0000 [8 per cell]

Entry 7:
Material: KAl2Rh
Method: DFT, PBE
State: relaxed

Its excess energy over the best structure of this formula in the dataset is 34.9 kJ/mol of atoms. Its energy relative to the elements is 0.024 eV/atom.

Lattice parameters (Å, degrees): 2.8982 5.8111 10.8545 90.00 90.00 90.00
Space group Immm (No. 71)
Inequivalent atoms, fractional coordinates:
K  0.0000  0.0000  0.0000 [2 per cell]
Al  0.0000  0.5000  0.1838 [4 per cell]
Rh  0.0000  0.0000  0.5000 [2 per cell]

Entry 8:
Material: ThHg
Method: DFT, PBE
State: relaxed

Its energy relative to the elements is -0.185 eV/atom.

Lattice parameters (Å, degrees): 3.6849 4.8642 6.5679 90.00 106.32 90.00
Space group P2_1/m (No. 11)
Inequivalent atoms, fractional coordinates:
Th  0.1623  0.2500  0.3238 [2 per cell]
Hg  0.4275  0.2500  0.8561 [2 per cell]

Entry 9:
Material: LuUOsPd
Method: DFT, PBE
State: relaxed

Its energy relative to the elements is -0.326 eV/atom.

Lattice parameters (Å, degrees): 6.8264 6.8264 6.8264 90.00 90.00 90.00
Space group F-43m (No. 216)
Inequivalent atoms, fractional coordinates:
Lu  0.0000  0.0000  0.0000 [4 per cell]
U  0.0000  0.0000  0.5000 [4 per cell]
Os  0.2500  0.2500  0.7500 [4 per cell]
Pd  0.2500  0.2500  0.2500 [4 per cell]

Entry 10:
Material: AsOs2RhPb
Method: DFT, PBE
State: relaxed

Its energy relative to the elements is 1.606 eV/atom.

Lattice parameters (Å, degrees): 4.8426 4.8426 4.6134 90.00 90.00 90.00
Space group P4/mmm (No. 123)
Inequivalent atoms, fractional coordinates:
As  0.0000  0.0000  0.0000 [1 per cell]
Os  0.0000  0.5000  0.5000 [2 per cell]
Rh  0.0000  0.0000  0.5000 [1 per cell]
Pb  0.5000  0.5000  0.0000 [1 per cell]

Entry 11:
Material: K2ScHgF6
Method: DFT, PBE
State: relaxed

Its excess energy over the best structure of this formula in the dataset is 0.0 kJ/mol of atoms. For the uncorrected formation energy, the calculation gives -2846 meV per atom.

Lattice parameters (Å, degrees): 6.1780 9.0257 6.9451 90.00 90.00 90.00
Space group Pmmn (No. 59, origin choice 2)
Inequivalent atoms, fractional coordinates:
K  0.2500  0.0308  0.1912 [4 per cell]
Sc  0.2500  0.7500  0.7958 [2 per cell]
Hg  0.2500  0.2500  0.6976 [2 per cell]
F  0.0023  0.7500  0.6066 [4 per cell]
F  0.0212  0.7500  0.0097 [4 per cell]
F  0.2500  0.5248  0.8090 [4 per cell]

Entry 12:
Material: GeRuPt
Method: DFT, PBE
State: relaxed

Its excess energy over the best structure of this formula in the dataset is 7.9 kJ/mol of atoms. Its energy relative to the elements is -0.088 eV/atom.

Lattice parameters (Å, degrees): 2.9702 2.9702 20.9932 90.00 90.00 90.00
Space group I4/mmm (No. 139)
Inequivalent atoms, fractional coordinates:
Ge  0.0000  0.0000  0.1360 [4 per cell]
Ru  0.0000  0.0000  0.2945 [4 per cell]
Pt  0.0000  0.0000  0.4369 [4 per cell]

Entry 13:
Material: KScSi2
Method: DFT, PBE
State: relaxed

Its excess energy over the best structure of this formula in the dataset is 44.5 kJ/mol of atoms. For the uncorrected formation energy, the calculation gives 212 meV per atom.

Lattice parameters (Å, degrees): 6.3040 8.9247 2.9353 90.00 90.00 90.00
Space group Cmmm (No. 65)
Inequivalent atoms, fractional coordinates:
K  0.0000  0.0000  0.0000 [2 per cell]
Sc  0.0000  0.5000  0.0000 [2 per cell]
Si  0.2500  0.2500  0.5000 [4 per cell]

Entry 14:
Material: TaTc2Br
Method: DFT, PBE
State: relaxed

Its excess energy over the best structure of this formula in the dataset is 50.4 kJ/mol of atoms. For the uncorrected formation energy, the calculation gives 805 meV per atom.

Lattice parameters (Å, degrees): 3.8163 3.8163 8.9762 90.00 90.00 90.00
Space group I-4m2 (No. 119)
Inequivalent atoms, fractional coordinates:
Ta  0.0000  0.0000  0.0000 [2 per cell]
Tc  0.0000  0.0000  0.5000 [2 per cell]
Tc  0.0000  0.5000  0.7500 [2 per cell]
Br  0.0000  0.5000  0.2500 [2 per cell]